A plane-wave DFT calculation with PBE was carried out for a relaxed structure of TbNdAl2.

- formation energy from the elements (meV/atom) = -370.3
- DFT total energy (eV per atom) = -4.591
- energy above the lowest structure with this stoichiometry (eV per atom) = 0.007

Cell: 7.3489 7.3489 7.3489 Å, 90.00 90.00 90.00°
Space group Fm-3m (No. 225)
Unique sites:
Tb 0.0000 0.0000 0.0000
Nd 0.0000 0.0000 0.5000
Al 0.2500 0.2500 0.2500